(1)
First-principles (GGA-PBE) data for crystalline NiGe2H at its relaxed geometry, as listed in Alexandria via LeMat-Bulk.

calculated volume: 14.6 A^3/atom
offset from the most stable computed form: 225 meV/atom

a = 4.409 Å, b = 4.409 Å, c = 6.768 Å
α = 70.99°, β = 70.99°, γ = 90.00°
Atoms (fractional coordinates):
Ge  0.561  0.125  0.250
H  0.250  0.750  0.500
Ni  0.750  0.250  0.500
H  0.500  0.500  0.000
Ge  0.875  0.811  0.750
Ni  0.000  0.000  0.000
Ge  0.189  0.625  0.250
Ge  0.375  0.439  0.750

***

(2)
First-principles (GGA-PBE) data for crystalline HgB at its relaxed geometry, as listed in Alexandria via LeMat-Bulk.

calculated volume: 18.4 A^3/atom
calculated formation energy: 1.444 eV per atom
offset from the most stable computed form: 965 meV/atom

a = 3.876 Å, b = 3.876 Å, c = 5.643 Å
α = 90.00°, β = 90.00°, γ = 120.00°
Atoms (fractional coordinates):
Hg  0.333  0.667  0.753
B  0.667  0.333  0.829
Hg  0.667  0.333  0.253
B  0.333  0.667  0.329

***

(3)
First-principles (GGA-PBE) data for crystalline K2AlCdAu6 at its relaxed geometry, as listed in Alexandria via LeMat-Bulk.

calculated volume: 26.3 A^3/atom
calculated formation energy: -0.295 eV per atom

a = 7.028 Å, b = 7.345 Å, c = 7.398 Å
α = 56.83°, β = 61.52°, γ = 90.09°
Atoms (fractional coordinates):
K  0.290  0.708  0.418
Au  0.741  0.849  0.517
Au  0.148  0.257  0.112
Al  0.500  0.500  0.000
Au  0.741  0.258  0.109
Cd  0.000  0.000  0.000
K  0.710  0.292  0.582
Au  0.259  0.151  0.483
Au  0.852  0.743  0.888
Au  0.259  0.742  0.891

***

(4)
First-principles (GGA-PBE) data for crystalline Ho2HO3 at its relaxed geometry, as listed in Alexandria via LeMat-Bulk.

calculated volume: 11.0 A^3/atom

a = 3.318 Å, b = 9.072 Å, c = 8.797 Å
α = 90.00°, β = 90.00°, γ = 90.00°
Atoms (fractional coordinates):
O  0.750  0.623  0.961
H  0.250  0.197  0.206
Ho  0.750  0.006  0.683
O  0.250  0.446  0.378
O  0.750  0.293  0.765
O  0.250  0.123  0.539
O  0.750  0.554  0.622
O  0.750  0.877  0.461
H  0.750  0.803  0.794
H  0.750  0.697  0.294
Ho  0.750  0.494  0.183
Ho  0.750  0.177  0.011
O  0.750  0.207  0.265
Ho  0.250  0.677  0.489
O  0.250  0.793  0.735
O  0.750  0.946  0.122
H  0.250  0.303  0.706
Ho  0.250  0.994  0.317
Ho  0.250  0.506  0.817
O  0.250  0.377  0.039
O  0.250  0.054  0.878
Ho  0.250  0.823  0.989
O  0.250  0.707  0.235
Ho  0.750  0.323  0.511

***

Which total energy belongs to each record? In order, -4.2273, -2.0453, -2.9463, -7.1085 eV per atom.